Entry 1:
Entry from the Alexandria database: crystalline SiHgP2 at its relaxed geometry (PBE).

Cell: 4.6353 4.6353 4.6353 Å, 60.00 60.00 60.00°
With the nearest neighbours (Å) after each atom.
Fractional positions:
1 P 0.7500 0.7500 0.7500  4 Hg 2.84, 4 Si 2.84
2 P 0.2500 0.2500 0.2500  4 Hg 2.84, 4 Si 2.84
3 Si 0.0000 0.0000 0.0000  8 P 2.84
4 Hg 0.5000 0.5000 0.5000  8 P 2.84

## Properties
VASP energy = -3.370 eV/atom
Volume = 17.61 Å³/atom


Entry 2:
Entry from the Alexandria database: crystalline SiHgP2 at its relaxed geometry (PBE).

Cell: 2.6276 5.3060 5.3060 Å, 90.00 90.00 90.00°
With the nearest neighbours (Å) after each atom.
Fractional positions:
1 P 0.0000 0.5000 0.5000  2 P 2.63
2 P 0.0000 0.0000 0.0000  2 P 2.63
3 Si 0.5000 0.5000 0.0000  2 Si 2.63
4 Hg 0.5000 0.0000 0.5000  2 Hg 2.63

## Properties
VASP energy = -3.407 eV/atom
Volume = 18.49 Å³/atom


Entry 3:
Entry from the Alexandria database: crystalline SiHgP2 at its relaxed geometry (PBE).

Cell: 4.7115 4.7115 4.7115 Å, 122.68 122.68 85.41°
With the nearest neighbours (Å) after each atom.
Fractional positions:
1 Hg 0.7500 0.2500 0.5000  4 P 2.85, 4 Si 2.85
2 Si 0.5000 0.5000 0.0000  4 Hg 2.85, 4 P 2.85
3 P 0.0000 0.0000 0.0000  4 P 2.85, 4 Hg 2.85
4 P 0.2500 0.7500 0.5000  4 Si 2.85, 4 P 2.85

## Properties
VASP energy = -3.345 eV/atom
Volume = 17.68 Å³/atom


Entry 4:
Entry from the Alexandria database: crystalline Si3HgP at its relaxed geometry (PBE).

Cell: 4.9801 4.9801 4.9801 Å, 90.00 90.00 90.00°
With the nearest neighbours (Å) after each atom.
Fractional positions:
1 P 0.5000 0.5000 0.5000  12 Si 3.52
2 Si 0.5000 0.0000 0.0000  2 Hg 2.49
3 Si 0.0000 0.5000 0.0000  2 Hg 2.49
4 Si 0.0000 0.0000 0.5000  2 Hg 2.49
5 Hg 0.0000 0.0000 0.0000  6 Si 2.49

## Properties
VASP energy = -2.850 eV/atom
Volume = 24.70 Å³/atom


Entry 5:
Entry from the Alexandria database: crystalline SiHg2P at its relaxed geometry (PBE).

Cell: 6.3547 6.3547 6.7671 Å, 62.00 62.00 90.00°
With the nearest neighbours (Å) after each atom.
Fractional positions:
1 Si 0.2500 0.7500 0.5000  4 Hg 2.60
2 Si 0.5000 0.5000 0.0000  4 Hg 2.60
3 P 0.0000 0.0000 0.0000  4 Hg 2.55
4 P 0.7500 0.2500 0.5000  4 Hg 2.55
5 Hg 0.8750 0.8816 0.7500  2 P 2.55, 2 Si 2.60
6 Hg 0.6316 0.1250 0.2500  2 P 2.55, 2 Si 2.60
7 Hg 0.3750 0.3684 0.7500  2 P 2.55, 2 Si 2.60
8 Hg 0.1184 0.6250 0.2500  2 P 2.55, 2 Si 2.60

## Properties
VASP energy = -2.288 eV/atom
Volume = 25.54 Å³/atom


Entry 6:
Entry from the Alexandria database: crystalline SiHg2P at its relaxed geometry (PBE).

Cell: 3.8804 4.8097 4.8106 Å, 71.53 90.00 90.00°
With the nearest neighbours (Å) after each atom.
Fractional positions:
1 P 0.5000 0.2500 0.2500  4 Hg 2.73, 2 Si 2.81
2 Hg 0.0000 0.0040 0.0039  2 P 2.73, 2 Si 2.77, 2 Hg 2.81
3 Hg 0.0000 0.4960 0.4961  2 P 2.73, 2 Si 2.77, 2 Hg 2.81
4 Si 0.5000 0.7500 0.7500  4 Hg 2.77, 2 P 2.81

## Properties
VASP energy = -2.413 eV/atom
Volume = 21.29 Å³/atom


Entry 7:
Entry from the Alexandria database: crystalline Si3HgP at its relaxed geometry (PBE).

Cell: 4.6027 4.6027 4.6027 Å, 90.00 90.00 90.00°
With the nearest neighbours (Å) after each atom.
Fractional positions:
1 Si 0.0000 0.0000 0.5000  2 P 2.30
2 Si 0.5000 0.0000 0.0000  2 P 2.30
3 Si 0.0000 0.5000 0.0000  2 P 2.30
4 Hg 0.5000 0.5000 0.5000  12 Si 3.25
5 P 0.0000 0.0000 0.0000  6 Si 2.30

## Properties
VASP energy = -3.615 eV/atom
Volume = 19.50 Å³/atom


Entry 8:
Entry from the Alexandria database: crystalline SiHgP2 at its relaxed geometry (PBE).

Cell: 3.4928 4.4689 5.2629 Å, 69.52 90.00 90.00°
With the nearest neighbours (Å) after each atom.
Fractional positions:
1 P 0.0000 0.9879 0.0939  1 P 2.19, 2 Si 2.40
2 P 0.0000 0.5121 0.4061  1 P 2.19, 2 Si 2.40
3 Hg 0.5000 0.7500 0.7500  2 Si 2.79, 4 P 2.97
4 Si 0.5000 0.2500 0.2500  4 P 2.40

## Properties
VASP energy = -3.942 eV/atom
Volume = 19.24 Å³/atom


Entry 9:
Entry from the Alexandria database: crystalline SiHgP2 at its relaxed geometry (PBE).

Cell: 9.8841 9.8841 9.8841 Å, 18.09 18.09 18.09°
With the nearest neighbours (Å) after each atom.
Fractional positions:
1 P 0.9710 0.9710 0.9710  3 Si 2.39
2 P 0.5290 0.5290 0.5290  3 Si 2.39
3 Si 0.2500 0.2500 0.2500  6 P 2.39
4 Hg 0.7500 0.7500 0.7500  6 Hg 3.11

## Properties
VASP energy = -3.828 eV/atom
Volume = 20.32 Å³/atom


Entry 10:
Entry from the Alexandria database: crystalline SiHg2P at its relaxed geometry (PBE).

Cell: 3.5623 3.5623 8.6322 Å, 102.06 102.06 60.03°
With the nearest neighbours (Å) after each atom.
Fractional positions:
1 Hg 0.0852 0.0852 0.0046  1 Si 2.56
2 Hg 0.6671 0.6671 0.7526  1 P 2.68, 3 Hg 2.95
3 P 0.5613 0.5613 0.4328  3 Si 2.30
4 Si 0.1863 0.1863 0.3100  3 P 2.30, 1 Hg 2.56

## Properties
VASP energy = -2.841 eV/atom
Volume = 23.02 Å³/atom


Entry 11:
Entry from the Alexandria database: crystalline SiHg2P at its relaxed geometry (PBE).

Cell: 4.7524 4.8796 4.7234 Å, 69.51 74.03 110.72°
With the nearest neighbours (Å) after each atom.
Fractional positions:
1 Hg 0.0000 0.0000 0.0000  2 P 2.74, 2 Si 2.74, 2 Hg 2.85
2 Hg 0.5000 0.0000 0.5000  2 Si 2.74, 2 P 2.74, 2 Hg 2.85
3 Si 0.5000 0.5000 0.0000  4 Hg 2.74, 2 P 2.85
4 P 0.0000 0.5000 0.5000  4 Hg 2.74, 2 Si 2.85

## Properties
VASP energy = -2.374 eV/atom
Volume = 21.36 Å³/atom


Entry 12:
Entry from the Alexandria database: crystalline SiHg2P at its relaxed geometry (PBE).

Cell: 4.8752 4.8752 4.8752 Å, 60.00 60.00 60.00°
With the nearest neighbours (Å) after each atom.
Fractional positions:
1 Hg 0.2500 0.2500 0.2500  4 Si 2.99, 4 P 2.99
2 Hg 0.7500 0.7500 0.7500  4 Si 2.99, 4 P 2.99
3 P 0.5000 0.5000 0.5000  8 Hg 2.99
4 Si 0.0000 0.0000 0.0000  8 Hg 2.99

## Properties
VASP energy = -2.149 eV/atom
Volume = 20.48 Å³/atom


Entry 13:
Entry from the Alexandria database: crystalline SiHgP at its relaxed geometry (PBE).

Cell: 3.4889 6.1370 9.6376 Å, 129.04 89.87 90.09°
With the nearest neighbours (Å) after each atom.
Fractional positions:
1 P 0.2513 0.1093 0.3959  3 Si 2.28-2.33
2 P 0.7487 0.8907 0.6041  3 Si 2.28-2.33
3 Hg 0.2488 0.2265 0.1367  1 Si 2.56
4 Hg 0.7512 0.7735 0.8633  1 Si 2.56
5 Si 0.7504 0.2543 0.5885  3 P 2.28-2.33
6 Si 0.2496 0.7457 0.4115  3 P 2.28-2.33

## Properties
VASP energy = -3.652 eV/atom
Volume = 26.71 Å³/atom


Entry 14:
Entry from the Alexandria database: crystalline SiHg2P at its relaxed geometry (PBE).

Cell: 8.3158 8.3158 8.3158 Å, 24.78 24.78 24.78°
With the nearest neighbours (Å) after each atom.
Fractional positions:
1 P 0.5234 0.5234 0.5234  3 Si 2.32
2 Si 0.2341 0.2341 0.2341  3 P 2.32
3 Hg 0.9871 0.9871 0.9871  3 Si 2.93, 3 Hg 3.21
4 Hg 0.7554 0.7554 0.7554  3 P 3.20, 9 Hg 3.21-3.57

## Properties
VASP energy = -2.778 eV/atom
Volume = 22.22 Å³/atom


Entry 15:
Entry from the Alexandria database: crystalline SiHgP2 at its relaxed geometry (PBE).

Cell: 5.0059 5.0059 5.7981 Å, 76.26 76.26 36.27°
With the nearest neighbours (Å) after each atom.
Fractional positions:
1 P 0.4459 0.4459 0.6458  2 P 2.36, 2 Si 2.39
2 P 0.0541 0.0541 0.8542  2 P 2.36, 2 Si 2.39
3 Hg 0.2500 0.2500 0.2500  2 Hg 3.12, 4 Si 3.29, 2 P 3.30
4 Si 0.7500 0.7500 0.7500  4 P 2.39

## Properties
VASP energy = -3.748 eV/atom
Volume = 20.81 Å³/atom


Entry 16:
Entry from the Alexandria database: crystalline Si4HgP at its relaxed geometry (PBE).

Cell: 5.2585 5.2585 5.2585 Å, 60.00 60.00 60.00°
With the nearest neighbours (Å) after each atom.
Fractional positions:
1 Si 0.3747 0.8759 0.3747  6 Si 2.62-2.64
2 Si 0.3747 0.3747 0.8759  6 Si 2.62-2.64
3 Si 0.3747 0.3747 0.3747  6 Si 2.62-2.64
4 Si 0.8759 0.3747 0.3747  6 Si 2.62-2.64
5 Hg 0.7500 0.7500 0.7500  12 Si 3.08, 4 P 3.22
6 P 0.0000 0.0000 0.0000  12 Si 3.08, 4 Hg 3.22

## Properties
VASP energy = -3.834 eV/atom
Volume = 17.14 Å³/atom


Entry 17:
Entry from the Alexandria database: crystalline SiHgP2 at its relaxed geometry (PBE).

Cell: 3.4071 4.4382 4.7022 Å, 90.00 90.00 90.00°
With the nearest neighbours (Å) after each atom.
Fractional positions:
1 P 0.5000 0.5000 0.0000  4 P 2.80, 4 Hg 2.90
2 P 0.0000 0.0000 0.0000  4 P 2.80, 4 Si 2.90
3 Hg 0.0000 0.5000 0.5000  4 Si 2.80, 4 P 2.90
4 Si 0.5000 0.0000 0.5000  4 Hg 2.80, 4 P 2.90

## Properties
VASP energy = -3.344 eV/atom
Volume = 17.78 Å³/atom


Entry 18:
Entry from the Alexandria database: crystalline SiHgP2 at its relaxed geometry (PBE).

Cell: 7.0957 7.0957 7.0957 Å, 28.45 28.45 28.45°
With the nearest neighbours (Å) after each atom.
Fractional positions:
1 Si 0.5140 0.5140 0.5140  3 P 2.47
2 Hg 0.7508 0.7508 0.7508  3 Si 2.82, 3 P 2.86
3 P 0.2505 0.2505 0.2505  3 P 2.44, 3 Si 2.47
4 P 0.9848 0.9848 0.9848  3 P 2.44

## Properties
VASP energy = -3.836 eV/atom
Volume = 17.91 Å³/atom


Entry 19:
Entry from the Alexandria database: crystalline SiHgP2 at its relaxed geometry (PBE).

Cell: 3.2153 3.2071 8.1838 Å, 90.00 90.00 90.00°
With the nearest neighbours (Å) after each atom.
Fractional positions:
1 Hg 0.5000 0.5000 0.7400  4 Hg 3.21-3.22, 4 Si 3.55
2 P 0.5000 0.5000 0.2376  4 P 2.48, 4 Si 2.66
3 P 0.0000 0.0000 0.1164  1 Si 2.37, 4 P 2.48
4 Si 0.0000 0.0000 0.4060  1 P 2.37

## Properties
VASP energy = -3.703 eV/atom
Volume = 21.10 Å³/atom


Entry 20:
Entry from the Alexandria database: crystalline SiHg2P at its relaxed geometry (PBE).

Cell: 3.9085 3.9085 5.6759 Å, 90.00 90.00 90.00°
With the nearest neighbours (Å) after each atom.
Fractional positions:
1 Si 0.0000 0.5000 0.5000  4 P 2.76
2 P 0.5000 0.0000 0.5000  4 Si 2.76
3 Hg 0.0000 0.0000 0.0000  4 Hg 2.76
4 Hg 0.5000 0.5000 0.0000  4 Hg 2.76

## Properties
VASP energy = -2.245 eV/atom
Volume = 21.68 Å³/atom


Entry 21:
Entry from the Alexandria database: crystalline SiHg2P at its relaxed geometry (PBE).

Cell: 3.3014 3.3014 8.0924 Å, 90.00 90.00 109.13°
With the nearest neighbours (Å) after each atom.
Fractional positions:
1 Si 0.5000 0.5000 0.7500  4 Hg 2.79
2 P 0.5000 0.5000 0.2500  4 Hg 2.78
3 Hg 0.0000 0.0000 0.4987  2 P 2.78, 2 Si 2.79
4 Hg 0.0000 0.0000 0.0013  2 P 2.78, 2 Si 2.79

## Properties
VASP energy = -2.223 eV/atom
Volume = 20.83 Å³/atom


Entry 22:
Entry from the Alexandria database: crystalline SiHg2P at its relaxed geometry (PBE).

Cell: 6.1309 6.1309 5.4287 Å, 64.76 64.76 26.65°
With the nearest neighbours (Å) after each atom.
Fractional positions:
1 Si 0.2500 0.2500 0.2500  2 Si 2.83, 4 Hg 3.03, 4 P 3.06
2 Hg 0.0004 0.0004 0.9995  6 Hg 2.83-3.06, 2 P 3.03, 2 Si 3.03
3 Hg 0.4996 0.4996 0.5005  6 Hg 2.83-3.06, 2 P 3.03, 2 Si 3.03
4 P 0.7500 0.7500 0.7500  2 P 2.83, 4 Hg 3.03, 4 Si 3.06

## Properties
VASP energy = -2.253 eV/atom
Volume = 20.57 Å³/atom


Entry 23:
Entry from the Alexandria database: crystalline SiHg2P at its relaxed geometry (PBE).

Cell: 3.2676 5.2678 4.7707 Å, 90.00 90.00 90.00°
With the nearest neighbours (Å) after each atom.
Fractional positions:
1 Si 0.0000 0.5000 0.5000  4 Hg 2.89, 4 P 3.10
2 P 0.5000 0.0000 0.5000  4 Hg 2.89, 4 Si 3.10
3 Hg 0.5000 0.5000 0.0000  4 Si 2.89, 4 Hg 3.10
4 Hg 0.0000 0.0000 0.0000  4 P 2.89, 4 Hg 3.10

## Properties
VASP energy = -2.225 eV/atom
Volume = 20.53 Å³/atom


Entry 24:
Entry from the Alexandria database: crystalline SiHg2P at its relaxed geometry (PBE).

Cell: 3.4809 2.7685 11.4400 Å, 62.48 90.00 90.00°
With the nearest neighbours (Å) after each atom.
Fractional positions:
1 Hg 0.0000 0.9194 0.9883  2 Hg 2.77, 1 P 3.01
2 Hg 0.5000 0.3186 0.2714  2 Hg 2.77, 1 Si 2.81
3 Si 0.5000 0.7686 0.5485  2 P 2.27
4 P 0.0000 0.4934 0.6918  2 Si 2.27

## Properties
VASP energy = -2.645 eV/atom
Volume = 24.44 Å³/atom


Entry 25:
Entry from the Alexandria database: crystalline SiHg2P at its relaxed geometry (PBE).

Cell: 5.6681 5.6681 5.6681 Å, 137.47 137.47 61.71°
With the nearest neighbours (Å) after each atom.
Fractional positions:
1 Hg 0.0000 0.0000 0.0000  4 Hg 2.91, 4 Si 3.19, 4 P 3.19
2 Hg 0.5000 0.5000 0.0000  4 Hg 2.91, 4 P 3.19, 4 Si 3.19
3 P 0.2500 0.7500 0.5000  4 Si 2.91, 8 Hg 3.19
4 Si 0.7500 0.2500 0.5000  4 P 2.91, 8 Hg 3.19

## Properties
VASP energy = -2.235 eV/atom
Volume = 20.56 Å³/atom


Entry 26:
Entry from the Alexandria database: crystalline SiHg2P at its relaxed geometry (PBE).

Cell: 5.2264 5.2264 5.2264 Å, 136.81 118.88 77.76°
With the nearest neighbours (Å) after each atom.
Fractional positions:
1 Hg 0.9990 0.9990 0.0000  2 P 2.79, 2 Si 2.81
2 Hg 0.5010 0.5010 0.0000  2 P 2.79, 2 Si 2.81
3 P 0.7500 0.2500 0.5000  4 Hg 2.79
4 Si 0.2500 0.7500 0.5000  4 Hg 2.81

## Properties
VASP energy = -2.241 eV/atom
Volume = 20.80 Å³/atom


Entry 27:
Entry from the Alexandria database: crystalline SiHgP2 at its relaxed geometry (PBE).

Cell: 2.9406 2.9406 9.4928 Å, 90.00 90.00 113.06°
With the nearest neighbours (Å) after each atom.
Fractional positions:
1 Si 0.5000 0.5000 0.2500  4 P 2.37
2 Hg 0.5000 0.5000 0.7500  6 Hg 2.94-3.24
3 P 0.0000 0.0000 0.4324  2 Si 2.37
4 P 0.0000 0.0000 0.0676  2 Si 2.37

## Properties
VASP energy = -3.639 eV/atom
Volume = 18.88 Å³/atom


Entry 28:
Entry from the Alexandria database: crystalline SiHg2P at its relaxed geometry (PBE).

Cell: 3.0862 3.0862 10.5212 Å, 90.00 90.00 111.60°
With the nearest neighbours (Å) after each atom.
Fractional positions:
1 P 0.0000 0.0000 0.5594  2 Si 2.29
2 Si 0.5000 0.5000 0.7008  2 P 2.29
3 Hg 0.5000 0.5000 0.2732  4 Hg 3.09
4 Hg 0.0000 0.0000 0.9665  4 Hg 3.09, 2 Si 3.29

## Properties
VASP energy = -2.528 eV/atom
Volume = 23.29 Å³/atom


Entry 29:
Entry from the Alexandria database: crystalline SiHg3P at its relaxed geometry (PBE).

Cell: 5.1346 5.1346 5.1346 Å, 90.00 90.00 90.00°
With the nearest neighbours (Å) after each atom.
Fractional positions:
1 Hg 0.0000 0.0000 0.5000  2 Si 2.57
2 Hg 0.0000 0.5000 0.0000  2 Si 2.57
3 Hg 0.5000 0.0000 0.0000  2 Si 2.57
4 Si 0.0000 0.0000 0.0000  6 Hg 2.57
5 P 0.5000 0.5000 0.5000  12 Hg 3.63

## Properties
VASP energy = -1.643 eV/atom
Volume = 27.07 Å³/atom


Entry 30:
Entry from the Alexandria database: crystalline SiHgP at its relaxed geometry (PBE).

Cell: 4.5041 4.5041 4.5041 Å, 60.00 60.00 60.00°
With the nearest neighbours (Å) after each atom.
Fractional positions:
1 Si 0.0000 0.0000 0.0000  4 P 2.76
2 Hg 0.5000 0.5000 0.5000  4 P 2.76
3 P 0.2500 0.2500 0.2500  4 Hg 2.76, 4 Si 2.76

## Properties
VASP energy = -3.082 eV/atom
Volume = 21.54 Å³/atom